Crystalline YEr2AgN at its relaxed geometry, computed with PBE-GGA.

Results
The energy relative to the elements, uncorrected comes out at -3.82 eV per formula unit.

a b c (Å): 4.7256 4.7256 4.8380
angles (deg): 90.00 90.00 90.00
Space group P4/mmm (No. 123)
One atom of each set of equivalent atoms:
1 Y 0.0000 0.0000 0.0000 [1 per cell]
2 Er 0.0000 0.5000 0.5000 [2 per cell]
3 Ag 0.5000 0.5000 0.0000 [1 per cell]
4 N 0.0000 0.0000 0.5000 [1 per cell]

Crystalline KBa2Os at its relaxed geometry, computed with PBE-GGA.

Results
Its energy of formation from the pure elements is 0.685 eV per atom.

a b c (Å): 3.7775 5.1534 18.3866
angles (deg): 90.00 90.00 90.00
Space group Imm2 (No. 44)
One atom of each set of equivalent atoms:
1 K 0.0000 0.0000 0.0000 [2 per cell]
2 Ba 0.0000 0.0000 0.3059 [2 per cell]
3 Ba 0.0000 0.5000 0.1501 [2 per cell]
4 Os 0.0000 0.5000 0.6775 [2 per cell]

Crystalline CeErCdSi at its relaxed geometry, computed with PBE-GGA.

Results
The energy relative to the elements, uncorrected comes out at -1.31 eV per formula unit.

a b c (Å): 7.2719 7.2719 7.2719
angles (deg): 90.00 90.00 90.00
Space group F-43m (No. 216)
One atom of each set of equivalent atoms:
1 Ce 0.0000 0.0000 0.0000 [4 per cell]
2 Er 0.0000 0.0000 0.5000 [4 per cell]
3 Cd 0.2500 0.2500 0.7500 [4 per cell]
4 Si 0.2500 0.2500 0.2500 [4 per cell]

Number 1: total DFT energy (no corrections) -6.12 eV/atom. Number 2: total DFT energy (no corrections) -3.36 eV/atom. Number 3: total DFT energy (no corrections) -4.54 eV/atom.